1.
# PBE K2RbSrPb, relaxed
# Volume   65.25 A^3/atom
# Energy of formation   -0.0346 eV per atom
data_K2RbSrPb
_cell_length_a 7.0420
_cell_length_b 7.0420
_cell_length_c 6.5793
_cell_angle_alpha 90.00
_cell_angle_beta 90.00
_cell_angle_gamma 90.00
_space_group_name_H-M_alt 'P 4/m m m'
_space_group_IT_number 123
_space_group_name_Hall '-P 4 2'
loop_
_atom_site_label
_atom_site_fract_x
_atom_site_fract_y
_atom_site_fract_z
K1 0.0000 0.5000 0.0000
Rb1 0.0000 0.0000 0.5000
Sr1 0.5000 0.5000 0.5000
Pb1 0.5000 0.5000 0.0000

=====

2.
# PBE CeSmGe2, relaxed
# Volume   23.47 A^3/atom
# Energy of formation   -0.6322 eV per atom
data_CeSmGe2
_cell_length_a 3.3794
_cell_length_b 3.3794
_cell_length_c 8.2194
_cell_angle_alpha 90.00
_cell_angle_beta 90.00
_cell_angle_gamma 90.00
_space_group_name_H-M_alt 'P 4/m m m'
_space_group_IT_number 123
_space_group_name_Hall '-P 4 2'
loop_
_atom_site_label
_atom_site_fract_x
_atom_site_fract_y
_atom_site_fract_z
Ce1 0.0000 0.0000 0.0000
Sm1 0.0000 0.0000 0.5000
Ge1 0.5000 0.5000 0.2499

=====

3.
# PBE V2Ni2RhSe6, relaxed
# E_form (uncorrected)   -3.70 eV/f.u.
# Volume   17.55 A^3/atom
data_V2Ni2RhSe6
_cell_length_a 5.6970
_cell_length_b 10.8076
_cell_length_c 6.4679
_cell_angle_alpha 90.00
_cell_angle_beta 104.21
_cell_angle_gamma 90.00
_space_group_name_H-M_alt 'C 1 2/m 1'
_space_group_IT_number 12
loop_
_space_group_symop_operation_xyz
'x,y,z'
'-x,-y,-z'
'-x,y,-z'
'x,-y,z'
'x+1/2,y+1/2,z'
'-x+1/2,-y+1/2,-z'
'-x+1/2,y+1/2,-z'
'x+1/2,-y+1/2,z'
loop_
_atom_site_label
_atom_site_fract_x
_atom_site_fract_y
_atom_site_fract_z
V1 0.0000 0.1230 0.0000
Ni1 0.0000 0.3290 0.5000
Rh1 0.0000 0.5000 0.0000
Se1 0.2267 0.3110 0.2281
Se2 0.2432 0.5000 0.7144

=====

4.
# PBE HfCuPd3, relaxed
# Volume   18.65 A^3/atom
# Energy of formation   0.3578 eV per atom
data_HfCuPd3
_cell_length_a 4.5343
_cell_length_b 4.5343
_cell_length_c 4.5343
_cell_angle_alpha 90.00
_cell_angle_beta 90.00
_cell_angle_gamma 90.00
_space_group_name_H-M_alt 'P m -3 m'
_space_group_IT_number 221
_space_group_name_Hall '-P 4 2 3'
loop_
_atom_site_label
_atom_site_fract_x
_atom_site_fract_y
_atom_site_fract_z
Hf1 0.0000 0.0000 0.0000
Cu1 0.5000 0.5000 0.5000
Pd1 0.0000 0.5000 0.5000

=====

5.
# PBE LiHo2Ga5Co2, relaxed
# Volume   17.02 A^3/atom
# Energy of formation   -0.4734 eV per atom
data_LiHo2Ga5Co2
_cell_length_a 9.2067
_cell_length_b 9.2067
_cell_length_c 4.0163
_cell_angle_alpha 90.00
_cell_angle_beta 90.00
_cell_angle_gamma 90.00
_space_group_name_H-M_alt 'P 4/m b m'
_space_group_IT_number 127
_space_group_name_Hall '-P 4 2ab'
loop_
_atom_site_label
_atom_site_fract_x
_atom_site_fract_y
_atom_site_fract_z
Li1 0.0000 0.0000 0.0000
Ho1 0.1803 0.3197 0.0000
Ga1 0.0000 0.5000 0.5000
Ga2 0.0640 0.7862 0.5000
Co1 0.1144 0.6144 0.0000

=====

6.
# PBE ReSi2Pt, relaxed
# E_form (uncorrected)   -1.41 eV/f.u.
# Volume   14.22 A^3/atom
data_ReSi2Pt
_cell_length_a 3.2455
_cell_length_b 3.2455
_cell_length_c 5.4014
_cell_angle_alpha 90.00
_cell_angle_beta 90.00
_cell_angle_gamma 90.00
_space_group_name_H-M_alt 'P 4 m m'
_space_group_IT_number 99
loop_
_space_group_symop_operation_xyz
'x,y,z'
'-y,x,z'
'-x,-y,z'
'y,-x,z'
'-x,y,z'
'y,x,z'
'x,-y,z'
'-y,-x,z'
loop_
_atom_site_label
_atom_site_fract_x
_atom_site_fract_y
_atom_site_fract_z
Re1 0.0000 0.0000 0.0000
Si1 0.0000 0.0000 0.4554
Si2 0.5000 0.5000 0.1751
Pt1 0.5000 0.5000 0.6355

=====

7.
# PBE K2YCd, relaxed
# Volume   43.74 A^3/atom
# Energy of formation   0.2830 eV per atom
data_K2YCd
_cell_length_a 3.6902
_cell_length_b 6.8663
_cell_length_c 13.8095
_cell_angle_alpha 90.00
_cell_angle_beta 90.00
_cell_angle_gamma 90.00
_space_group_name_H-M_alt 'I m m 2'
_space_group_IT_number 44
loop_
_space_group_symop_operation_xyz
'x,y,z'
'-x,-y,z'
'-x,y,z'
'x,-y,z'
'x+1/2,y+1/2,z+1/2'
'-x+1/2,-y+1/2,z+1/2'
'-x+1/2,y+1/2,z+1/2'
'x+1/2,-y+1/2,z+1/2'
loop_
_atom_site_label
_atom_site_fract_x
_atom_site_fract_y
_atom_site_fract_z
K1 0.0000 0.0000 0.0000
K2 0.0000 0.5000 0.2061
Y1 0.0000 0.5000 0.8012
Cd1 0.0000 0.0000 0.4785

=====

8.
# PBE HgRh2Se, relaxed
# E_form (uncorrected)   0.21 eV/f.u.
# Volume   17.17 A^3/atom
data_HgRh2Se
_cell_length_a 3.1544
_cell_length_b 3.1544
_cell_length_c 23.9145
_cell_angle_alpha 90.00
_cell_angle_beta 90.00
_cell_angle_gamma 120.00
_space_group_name_H-M_alt 'R 3 m'
_space_group_IT_number 160
_space_group_name_Hall 'R 3 -2"'
loop_
_atom_site_label
_atom_site_fract_x
_atom_site_fract_y
_atom_site_fract_z
Hg1 0.0000 0.0000 0.0000
Rh1 0.0000 0.0000 0.2395
Rh2 0.0000 0.0000 0.4267
Se1 0.0000 0.0000 0.8325

=====

9.
# PBE SmGa6Au8, relaxed
# Volume   19.30 A^3/atom
# Energy of formation   -0.3036 eV per atom
data_SmGa6Au8
_cell_length_a 8.3879
_cell_length_b 8.3879
_cell_length_c 14.2559
_cell_angle_alpha 90.00
_cell_angle_beta 90.00
_cell_angle_gamma 120.00
_space_group_name_H-M_alt 'R -3'
_space_group_IT_number 148
_space_group_name_Hall '-R 3'
loop_
_atom_site_label
_atom_site_fract_x
_atom_site_fract_y
_atom_site_fract_z
Sm1 0.0000 0.0000 0.0000
Ga1 0.0164 0.2099 0.6322
Au1 0.0000 0.0000 0.2186
Au2 0.0097 0.3200 0.1277

=====

10.
# PBE FeGe2Au2, relaxed
# Volume   17.26 A^3/atom
# Energy of formation   0.2602 eV per atom
data_FeGe2Au2
_cell_length_a 6.5488
_cell_length_b 6.5488
_cell_length_c 4.0249
_cell_angle_alpha 90.00
_cell_angle_beta 90.00
_cell_angle_gamma 90.00
_space_group_name_H-M_alt 'P 4/m b m'
_space_group_IT_number 127
_space_group_name_Hall '-P 4 2ab'
loop_
_atom_site_label
_atom_site_fract_x
_atom_site_fract_y
_atom_site_fract_z
Fe1 0.0000 0.0000 0.0000
Ge1 0.1502 0.3498 0.0000
Au1 0.1625 0.6625 0.5000

=====

11.
# PBE K2YTc, relaxed
# Volume   40.98 A^3/atom
# Energy of formation   0.7196 eV per atom
data_K2YTc
_cell_length_a 9.4971
_cell_length_b 3.3596
_cell_length_c 10.5486
_cell_angle_alpha 90.00
_cell_angle_beta 103.10
_cell_angle_gamma 90.00
_space_group_name_H-M_alt 'C 1 m 1'
_space_group_IT_number 8
loop_
_space_group_symop_operation_xyz
'x,y,z'
'x,-y,z'
'x+1/2,y+1/2,z'
'x+1/2,-y+1/2,z'
loop_
_atom_site_label
_atom_site_fract_x
_atom_site_fract_y
_atom_site_fract_z
K1 0.0000 0.0000 0.0000
K2 0.1518 0.0000 0.6007
Y1 0.3356 0.0000 0.3002
Tc1 0.1050 0.5000 0.3003

=====

12.
# PBE ZrTa2Cl, relaxed
# E_form (uncorrected)   -0.80 eV/f.u.
# Volume   21.37 A^3/atom
data_ZrTa2Cl
_cell_length_a 3.2318
_cell_length_b 3.4151
_cell_length_c 7.7457
_cell_angle_alpha 90.00
_cell_angle_beta 90.00
_cell_angle_gamma 90.00
_space_group_name_H-M_alt 'P m m 2'
_space_group_IT_number 25
loop_
_space_group_symop_operation_xyz
'x,y,z'
'-x,-y,z'
'-x,y,z'
'x,-y,z'
loop_
_atom_site_label
_atom_site_fract_x
_atom_site_fract_y
_atom_site_fract_z
Zr1 0.0000 0.0000 0.0000
Ta1 0.0000 0.0000 0.5821
Ta2 0.5000 0.5000 0.7730
Cl1 0.5000 0.0000 0.2958